{"formula": "CePm3Dy2N6", "functional": "PBE", "state": "optimized geometry", "spacegroup": "No. 12", "e_form_raw_ev_per_fu": -18.56, "vol_a3_per_cell": 190.66, "magmom_total_mub_per_cell": 0.0, "lattice_angstrom": [[3.0768, -5.3282, 0.0000], [3.0768, 5.3282, 0.0000], [-2.0503, 0.0000, 5.8151]], "species": ["Ce", "Pm", "Pm", "Pm", "Dy", "Dy", "N", "N", "N", "N", "N", "N"], "frac_coords": [[0.0000, 0.0000, 0.0000], [0.1673, 0.8327, 0.5000], [0.5000, 0.5000, 0.5000], [0.8327, 0.1673, 0.5000], [0.3335, 0.6665, 0.0000], [0.6665, 0.3335, 0.0000], [0.0798, 0.4100, 0.2394], [0.2507, 0.2507, 0.7621], [0.4100, 0.0798, 0.2394], [0.5900, 0.9202, 0.7606], [0.7493, 0.7493, 0.2379], [0.9202, 0.5900, 0.7606]]}

{"formula": "CePrDy2N4", "functional": "PBE", "state": "optimized geometry", "spacegroup": "No. 10", "e_form_raw_ev_per_fu": -12.29, "vol_a3_per_cell": 126.42, "magmom_total_mub_per_cell": 0.2, "lattice_angstrom": [[6.1397, 0.0000, 0.0000], [0.0000, 3.5507, 0.0000], [-2.0298, 0.0000, 5.7988]], "species": ["Ce", "Pr", "Dy", "Dy", "N", "N", "N", "N"], "frac_coords": [[0.0000, 0.0000, 0.0000], [0.0000, 0.5000, 0.5000], [0.5000, 0.0000, 0.5000], [0.5000, 0.5000, 0.0000], [0.2550, 0.5000, 0.2443], [0.2578, 0.0000, 0.7627], [0.7422, 0.0000, 0.2373], [0.7450, 0.5000, 0.7557]]}

{"formula": "CeDy2PtN4", "functional": "PBE", "state": "optimized geometry", "spacegroup": "No. 63", "e_form_raw_ev_per_fu": -7.80, "vol_a3_per_cell": 233.29, "magmom_total_mub_per_cell": 0.0, "lattice_angstrom": [[1.7069, -5.8272, 0.0000], [1.7069, 5.8272, 0.0000], [0.0000, 0.0000, 11.7275]], "species": ["Ce", "Ce", "Dy", "Dy", "Dy", "Dy", "Pt", "Pt", "N", "N", "N", "N", "N", "N", "N", "N"], "frac_coords": [[0.1162, 0.8838, 0.7500], [0.8838, 0.1162, 0.2500], [0.3720, 0.6280, 0.5482], [0.3720, 0.6280, 0.9518], [0.6280, 0.3720, 0.0482], [0.6280, 0.3720, 0.4518], [0.1461, 0.8539, 0.2500], [0.8539, 0.1461, 0.7500], [0.0000, 0.0000, 0.0000], [0.0000, 0.0000, 0.5000], [0.2807, 0.7193, 0.1278], [0.2807, 0.7193, 0.3722], [0.4617, 0.5383, 0.7500], [0.5383, 0.4617, 0.2500], [0.7193, 0.2807, 0.6278], [0.7193, 0.2807, 0.8722]]}

{"formula": "Ce2DyPtN4", "functional": "PBE", "state": "optimized geometry", "spacegroup": "No. 63", "e_form_raw_ev_per_fu": -7.82, "vol_a3_per_cell": 239.86, "magmom_total_mub_per_cell": 0.0, "lattice_angstrom": [[1.7143, -5.8770, 0.0000], [1.7143, 5.8770, 0.0000], [0.0000, 0.0000, 11.9035]], "species": ["Ce", "Ce", "Ce", "Ce", "Dy", "Dy", "Pt", "Pt", "N", "N", "N", "N", "N", "N", "N", "N"], "frac_coords": [[0.1286, 0.8714, 0.5538], [0.1286, 0.8714, 0.9462], [0.8714, 0.1286, 0.0538], [0.8714, 0.1286, 0.4462], [0.3834, 0.6166, 0.7500], [0.6166, 0.3834, 0.2500], [0.3524, 0.6476, 0.2500], [0.6476, 0.3524, 0.7500], [0.0346, 0.9654, 0.7500], [0.2232, 0.7768, 0.1192], [0.2232, 0.7768, 0.3808], [0.5000, 0.5000, 0.0000], [0.5000, 0.5000, 0.5000], [0.7768, 0.2232, 0.6192], [0.7768, 0.2232, 0.8808], [0.9654, 0.0346, 0.2500]]}

{"formula": "Ce3Dy2PuN6", "functional": "PBE", "state": "optimized geometry", "spacegroup": "No. 12", "e_form_raw_ev_per_fu": -18.12, "vol_a3_per_cell": 185.62, "magmom_total_mub_per_cell": 6.0, "lattice_angstrom": [[3.0485, -5.2809, 0.0000], [3.0485, 5.2809, 0.0000], [-2.0342, 0.0000, 5.7650]], "species": ["Ce", "Ce", "Ce", "Dy", "Dy", "Pu", "N", "N", "N", "N", "N", "N"], "frac_coords": [[0.0000, 0.0000, 0.0000], [0.3327, 0.6673, 0.0000], [0.6673, 0.3327, 0.0000], [0.1666, 0.8334, 0.5000], [0.8334, 0.1666, 0.5000], [0.5000, 0.5000, 0.5000], [0.0888, 0.4185, 0.2553], [0.2521, 0.2521, 0.7446], [0.4185, 0.0888, 0.2553], [0.5815, 0.9112, 0.7447], [0.7479, 0.7479, 0.2554], [0.9112, 0.5815, 0.7447]]}

{"formula": "CeDyPu2N4", "functional": "PBE", "state": "optimized geometry", "spacegroup": "No. 10", "e_form_raw_ev_per_fu": -11.08, "vol_a3_per_cell": 120.89, "magmom_total_mub_per_cell": 0.0, "lattice_angstrom": [[6.0459, 0.0000, 0.0000], [0.0000, 3.5055, 0.0000], [-2.0837, 0.0000, 5.7041]], "species": ["Ce", "Dy", "Pu", "Pu", "N", "N", "N", "N"], "frac_coords": [[0.0000, 0.0000, 0.0000], [0.0000, 0.5000, 0.5000], [0.5000, 0.0000, 0.5000], [0.5000, 0.5000, 0.0000], [0.2578, 0.5000, 0.2606], [0.2589, 0.0000, 0.7535], [0.7411, 0.0000, 0.2465], [0.7422, 0.5000, 0.7394]]}

{"formula": "Ce3DyPu2N6", "functional": "PBE", "state": "optimized geometry", "spacegroup": "No. 12", "e_form_raw_ev_per_fu": -17.40, "vol_a3_per_cell": 185.63, "magmom_total_mub_per_cell": 11.0, "lattice_angstrom": [[3.0523, -5.2860, 0.0000], [3.0523, 5.2860, 0.0000], [-2.0377, 0.0000, 5.7526]], "species": ["Ce", "Ce", "Ce", "Dy", "Pu", "Pu", "N", "N", "N", "N", "N", "N"], "frac_coords": [[0.0000, 0.0000, 0.0000], [0.3341, 0.6659, 0.0000], [0.6659, 0.3341, 0.0000], [0.5000, 0.5000, 0.5000], [0.1668, 0.8332, 0.5000], [0.8332, 0.1668, 0.5000], [0.0821, 0.4199, 0.2599], [0.2420, 0.2420, 0.7394], [0.4199, 0.0821, 0.2599], [0.5801, 0.9179, 0.7401], [0.7580, 0.7580, 0.2606], [0.9179, 0.5801, 0.7401]]}

{"formula": "Ce2DyRuN4", "functional": "PBE", "state": "optimized geometry", "spacegroup": "No. 63", "e_form_raw_ev_per_fu": -8.35, "vol_a3_per_cell": 232.71, "magmom_total_mub_per_cell": 0.0, "lattice_angstrom": [[1.6935, -5.8920, 0.0000], [1.6935, 5.8920, 0.0000], [0.0000, 0.0000, 11.6612]], "species": ["Ce", "Ce", "Ce", "Ce", "Dy", "Dy", "Ru", "Ru", "N", "N", "N", "N", "N", "N", "N", "N"], "frac_coords": [[0.1311, 0.8689, 0.5517], [0.1311, 0.8689, 0.9483], [0.8689, 0.1311, 0.0517], [0.8689, 0.1311, 0.4483], [0.3837, 0.6163, 0.7500], [0.6163, 0.3837, 0.2500], [0.3553, 0.6447, 0.2500], [0.6447, 0.3553, 0.7500], [0.0364, 0.9636, 0.7500], [0.2258, 0.7742, 0.1281], [0.2258, 0.7742, 0.3719], [0.5000, 0.5000, 0.0000], [0.5000, 0.5000, 0.5000], [0.7742, 0.2258, 0.6281], [0.7742, 0.2258, 0.8719], [0.9636, 0.0364, 0.2500]]}